1.
VASP calculation (PBE) on crystalline Pr2GaCu3 at its relaxed geometry.

```
Pr2GaCu3
1.0
-2.0016 2.0863 7.6681
2.0016 -2.0863 7.6681
2.0016 2.0863 -7.6681
Pr Ga Cu
2 1 3
Direct
0.0000 0.0000 0.0000
0.7569 0.2569 0.5000
0.5903 0.5903 0.0000
0.1720 0.6720 0.5000
0.3339 0.8339 0.5000
0.4244 0.4244 0.0000
```

The energy is -4.434 eV/atom. For the energy of formation from the pure elements, the calculation gives -289 meV/atom. The total magnetization comes out at 0.00 μB per atom.

2.
VASP calculation (PBE) on crystalline Pr5GaCu4 at its relaxed geometry.

```
Pr5GaCu4
1.0
3.6251 0.0000 0.0000
0.0000 3.6251 0.0000
0.0000 0.0000 18.3642
Pr Ga Cu
5 1 4
Direct
0.0000 0.0000 0.0000
0.0000 0.0000 0.1980
0.0000 0.0000 0.3953
0.0000 0.0000 0.6047
0.0000 0.0000 0.8020
0.5000 0.5000 0.5000
0.5000 0.5000 0.0981
0.5000 0.5000 0.2944
0.5000 0.5000 0.7056
0.5000 0.5000 0.9019
```

The energy is -4.536 eV/atom. For the energy of formation from the pure elements, the calculation gives -205 meV/atom. The total magnetization comes out at 0.00 μB per atom.

3.
VASP calculation (PBE) on crystalline Pr2Ga2Cu3 at its relaxed geometry.

```
Pr2Ga2Cu3
1.0
5.3039 -2.1289 0.0000
5.3039 2.1289 0.0000
-2.6863 0.0000 6.0940
Pr Ga Cu
2 2 3
Direct
0.1449 0.1449 0.2616
0.8551 0.8551 0.7384
0.1458 0.1458 0.7438
0.8542 0.8542 0.2562
0.4025 0.4025 0.0835
0.5000 0.5000 0.5000
0.5975 0.5975 0.9165
```

The energy is -4.338 eV/atom. For the energy of formation from the pure elements, the calculation gives -352 meV/atom. The total magnetization comes out at 0.00 μB per atom.

4.
VASP calculation (PBE) on crystalline Pr3GaCu3 at its relaxed geometry.

```
Pr3GaCu3
1.0
2.1232 -5.3067 0.0000
2.1232 5.3067 0.0000
0.0000 0.0000 13.9444
Pr Ga Cu
6 2 6
Direct
0.0053 0.9947 0.7500
0.2910 0.7090 0.6018
0.2910 0.7090 0.8982
0.7090 0.2910 0.1018
0.7090 0.2910 0.3982
0.9947 0.0053 0.2500
0.0000 0.0000 0.0000
0.0000 0.0000 0.5000
0.2932 0.7068 0.2500
0.4249 0.5751 0.0921
0.4249 0.5751 0.4079
0.5751 0.4249 0.5921
0.5751 0.4249 0.9079
0.7068 0.2932 0.7500
```

The energy is -4.512 eV/atom. For the energy of formation from the pure elements, the calculation gives -276 meV/atom. The total magnetization comes out at 0.00 μB per atom.

5.
VASP calculation (PBE) on crystalline PrGa6Cu4 at its relaxed geometry.

```
PrGa6Cu4
1.0
7.1122 0.0000 0.0000
-3.5561 6.1593 0.0000
0.0000 0.0000 4.1233
Pr Ga Cu
1 6 4
Direct
0.0000 0.0000 0.0000
0.0714 0.5357 0.0000
0.3979 0.1990 0.5000
0.4643 0.5357 0.0000
0.4643 0.9286 0.0000
0.8010 0.1990 0.5000
0.8010 0.6021 0.5000
0.2108 0.4215 0.5000
0.2108 0.7892 0.5000
0.5785 0.7892 0.5000
0.6667 0.3333 0.0000
```

The energy is -3.840 eV/atom. For the energy of formation from the pure elements, the calculation gives -265 meV/atom. The total magnetization comes out at 0.00 μB per atom.

6.
VASP calculation (PBE) on crystalline PrGa7Cu5 at its relaxed geometry.

```
PrGa7Cu5
1.0
-2.6214 4.4635 4.3537
2.6214 -4.4635 4.3537
2.6214 4.4635 -4.3537
Pr Ga Cu
1 7 5
Direct
0.0000 0.0000 0.0000
0.1954 0.4910 0.7043
0.2289 0.7289 0.5000
0.3524 0.3524 0.0000
0.3558 0.0083 0.3475
0.6515 0.6515 0.0000
0.6608 0.0083 0.6525
0.7867 0.4910 0.2957
0.4967 0.5000 0.5016
0.4967 0.9951 0.9967
0.7695 0.2695 0.5000
0.9984 0.5000 0.0033
0.9984 0.9951 0.4984
```

The energy is -3.836 eV/atom. For the energy of formation from the pure elements, the calculation gives -263 meV/atom. The total magnetization comes out at 0.00 μB per atom.

7.
VASP calculation (PBE) on crystalline PrGa2Cu4 at its relaxed geometry.

```
PrGa2Cu4
1.0
7.6489 0.0000 0.0000
0.0000 7.6489 0.0000
0.0000 0.0000 3.8904
Pr Ga Cu
2 4 8
Direct
0.0000 0.0000 0.0000
0.5000 0.5000 0.5000
0.2204 0.2204 0.5000
0.2796 0.7204 0.0000
0.7204 0.2796 0.0000
0.7796 0.7796 0.5000
0.0842 0.6480 0.5000
0.1480 0.4158 0.0000
0.3520 0.9158 0.5000
0.4158 0.1480 0.0000
0.5842 0.8520 0.0000
0.6480 0.0842 0.5000
0.8520 0.5842 0.0000
0.9158 0.3520 0.5000
```

The energy is -4.142 eV/atom. For the energy of formation from the pure elements, the calculation gives -254 meV/atom. The total magnetization comes out at 0.00 μB per atom.

8.
VASP calculation (PBE) on crystalline Pr3Ga4Cu4 at its relaxed geometry.

```
Pr3Ga4Cu4
1.0
-2.0811 2.1554 12.5143
2.0811 -2.1554 12.5143
2.0811 2.1554 -12.5143
Pr Ga Cu
3 4 4
Direct
0.0000 0.0000 0.0000
0.3480 0.8480 0.5000
0.6520 0.1520 0.5000
0.1980 0.6980 0.5000
0.4483 0.4483 0.0000
0.5517 0.5517 0.0000
0.8020 0.3020 0.5000
0.0991 0.5991 0.5000
0.2505 0.2505 0.0000
0.7495 0.7495 0.0000
0.9009 0.4009 0.5000
```

The energy is -4.331 eV/atom. For the energy of formation from the pure elements, the calculation gives -437 meV/atom. The total magnetization comes out at 0.00 μB per atom.